No. 1
# HfVFeRe (PBE-GGA, relaxed)
data_HfVFeRe
_chemical_formula_sum 'Hf4 V4 Fe4 Re4'
_cell_length_a 6.1838
_cell_length_b 6.1838
_cell_length_c 6.1838
_cell_angle_alpha 90.00
_cell_angle_beta 90.00
_cell_angle_gamma 90.00
_space_group_name_H-M_alt 'F -4 3 m'
_space_group_IT_number 216
_space_group_name_Hall 'F -4 2 3'
loop_
_atom_site_label
_atom_site_type_symbol
_atom_site_fract_x
_atom_site_fract_y
_atom_site_fract_z
_atom_site_occupancy
Hf1 Hf 0.0000 0.0000 0.0000 1
V1 V 0.0000 0.0000 0.5000 1
Fe1 Fe 0.2500 0.2500 0.2500 1
Re1 Re 0.2500 0.2500 0.7500 1
# Electronic total energy   -163.11 eV per cell
# Energy of formation   -199 meV per atom

***

No. 2
# RbFeAg3 (PBE-GGA, relaxed)
data_RbFeAg3
_chemical_formula_sum 'Rb1 Fe1 Ag3'
_cell_length_a 5.1500
_cell_length_b 5.1500
_cell_length_c 5.1500
_cell_angle_alpha 90.00
_cell_angle_beta 90.00
_cell_angle_gamma 90.00
_space_group_name_H-M_alt 'P m -3 m'
_space_group_IT_number 221
_space_group_name_Hall '-P 4 2 3'
loop_
_atom_site_label
_atom_site_type_symbol
_atom_site_fract_x
_atom_site_fract_y
_atom_site_fract_z
_atom_site_occupancy
Rb1 Rb 0.0000 0.0000 0.0000 1
Fe1 Fe 0.5000 0.5000 0.5000 1
Ag1 Ag 0.0000 0.5000 0.5000 1
# Electronic total energy   -15.08 eV per cell
# Energy of formation   580 meV per atom
# ΔE to the lowest computed polymorph   0.0 kJ per mole of atoms